No. 1
Material: TaTi2Ge
Method: DFT, GGA-PBE
State: relaxed

Output
- SG = R-3m (166)
- volume (A^3/atom) = 17.4
- energy of formation from the pure elements (kJ/mol of atoms) = -10.8

Cell: 3.011 3.011 26.631 Å, 90.00 90.00 120.00°
Fractional coordinates of all 12 atoms:
1 Ta 0.000 0.000 0.000
2 Ta 0.333 0.667 0.667
3 Ta 0.667 0.333 0.333
4 Ti 0.000 0.000 0.247
5 Ti 0.000 0.000 0.753
6 Ti 0.333 0.667 0.420
7 Ti 0.333 0.667 0.914
8 Ti 0.667 0.333 0.086
9 Ti 0.667 0.333 0.580
10 Ge 0.000 0.000 0.500
11 Ge 0.333 0.667 0.167
12 Ge 0.667 0.333 0.833

No. 2
Material: Re2TeSe
Method: DFT, GGA-PBE
State: relaxed

Output
- SG = Fm-3m (225)
- energy relative to the elements, uncorrected (eV per atom) = 0.772
- distance to the lowest polymorph of the same formula (meV/atom) = 547
- volume (A^3/atom) = 16.7

Cell: 6.440 6.440 6.440 Å, 90.00 90.00 90.00°
Fractional coordinates of all 16 atoms:
1 Re 0.250 0.250 0.250
2 Re 0.250 0.250 0.750
3 Re 0.250 0.750 0.250
4 Re 0.250 0.750 0.750
5 Re 0.750 0.250 0.250
6 Re 0.750 0.250 0.750
7 Re 0.750 0.750 0.250
8 Re 0.750 0.750 0.750
9 Te 0.000 0.000 0.000
10 Te 0.000 0.500 0.500
11 Te 0.500 0.000 0.500
12 Te 0.500 0.500 0.000
13 Se 0.000 0.000 0.500
14 Se 0.000 0.500 0.000
15 Se 0.500 0.000 0.000
16 Se 0.500 0.500 0.500

No. 3
Material: ScNb2Pt
Method: DFT, GGA-PBE
State: relaxed

Output
- SG = I-42d (122)
- distance to the lowest polymorph of the same formula (meV/atom) = 128
- volume (A^3/atom) = 19.9
- energy of formation from the pure elements (kJ/mol of atoms) = 0.8

Cell: 7.766 7.766 5.288 Å, 90.00 90.00 90.00°
Fractional coordinates of all 16 atoms:
1 Sc 0.000 0.000 0.000
2 Sc 0.000 0.500 0.250
3 Sc 0.500 0.000 0.750
4 Sc 0.500 0.500 0.500
5 Nb 0.217 0.250 0.625
6 Nb 0.250 0.717 0.875
7 Nb 0.250 0.783 0.375
8 Nb 0.283 0.250 0.125
9 Nb 0.717 0.750 0.125
10 Nb 0.750 0.217 0.375
11 Nb 0.750 0.283 0.875
12 Nb 0.783 0.750 0.625
13 Pt 0.000 0.000 0.500
14 Pt 0.000 0.500 0.750
15 Pt 0.500 0.000 0.250
16 Pt 0.500 0.500 0.000

No. 4
Material: SrYAl2H
Method: DFT, GGA-PBE
State: relaxed

Output
- SG = P4/mmm (123)
- volume (A^3/atom) = 22.1
- final energy (eV per atom) = -3.85

Cell: 5.143 5.143 4.186 Å, 90.00 90.00 90.00°
Fractional coordinates of all 5 atoms:
1 Sr 0.000 0.000 0.000
2 Y 0.500 0.500 0.000
3 Al 0.000 0.500 0.500
4 Al 0.500 0.000 0.500
5 H 0.500 0.500 0.500

No. 5
Material: NaNd3Os
Method: DFT, GGA-PBE
State: relaxed

Output
- SG = Pm-3m (221)
- volume (A^3/atom) = 36.1
- energy of formation from the pure elements (kJ/mol of atoms) = 9.5

Cell: 5.649 5.649 5.649 Å, 90.00 90.00 90.00°
Fractional coordinates of all 5 atoms:
1 Na 0.000 0.000 0.000
2 Nd 0.000 0.500 0.500
3 Nd 0.500 0.000 0.500
4 Nd 0.500 0.500 0.000
5 Os 0.500 0.500 0.500

No. 6
Material: TiMnNi
Method: DFT, GGA-PBE
State: relaxed

Output
- SG = P-62m (189)
- distance to the lowest polymorph of the same formula (meV/atom) = 428
- volume (A^3/atom) = 13.4
- energy of formation from the pure elements (kJ/mol of atoms) = 23.7

Cell: 5.851 5.851 4.062 Å, 90.00 90.00 120.00°
Fractional coordinates of all 9 atoms:
1 Ti 0.000 0.000 0.000
2 Ti 0.333 0.667 0.500
3 Ti 0.667 0.333 0.500
4 Mn 0.000 0.233 0.500
5 Mn 0.233 0.000 0.500
6 Mn 0.767 0.767 0.500
7 Ni 0.000 0.553 0.000
8 Ni 0.447 0.447 0.000
9 Ni 0.553 0.000 0.000

No. 7
Material: Cu2SiTc
Method: DFT, GGA-PBE
State: relaxed

Output
- SG = Pmmm (47)
- energy relative to the elements, uncorrected (eV per atom) = 0.143
- volume (A^3/atom) = 13.0

Cell: 2.601 3.919 5.108 Å, 90.00 90.00 90.00°
Fractional coordinates of all 4 atoms:
1 Cu 0.000 0.000 0.247
2 Cu 0.000 0.000 0.753
3 Si 0.500 0.500 0.000
4 Tc 0.500 0.500 0.500

No. 8
Material: MnNiCl
Method: DFT, GGA-PBE
State: relaxed

Output
- SG = P-6m2 (187)
- energy relative to the elements, uncorrected (eV per atom) = 0.306
- distance to the lowest polymorph of the same formula (meV/atom) = 574
- volume (A^3/atom) = 14.5

Cell: 4.070 4.070 3.042 Å, 90.00 90.00 120.00°
Fractional coordinates of all 3 atoms:
1 Mn 0.000 0.000 0.000
2 Ni 0.333 0.667 0.500
3 Cl 0.667 0.333 0.500